1.
Below is crystalline NaTe2P2 at its relaxed geometry, with properties calculated at the PBE level.

Computed properties:
* formation energy (no corrections): 0.165 eV per atom
* total moment: 0.000 μB/f.u.
* E_tot: -3.52 eV per atom

Lattice parameters (Å, degrees): 3.5465 3.5465 9.7260 79.50 79.50 90.00
Element x y z (fractional)
P (0.7500, 0.2500, 0.5000)
P (0.2500, 0.7500, 0.5000)
Te (0.3831, 0.3831, 0.2337)
Te (0.6169, 0.6169, 0.7663)
Na (0.0000, 0.0000, 0.0000)

---

2.
Below is crystalline NaThP2 at its relaxed geometry, with properties calculated at the PBE level.

Computed properties:
* ΔE_f: -0.730 eV per atom
* total moment: 0.000 μB/f.u.
* E_tot: -5.62 eV per atom

Lattice parameters (Å, degrees): 4.3028 4.3028 6.9477 71.96 71.96 60.00
Element x y z (fractional)
P (0.2587, 0.2587, 0.2238)
P (0.7413, 0.7413, 0.7762)
Th (0.0000, 0.0000, 0.0000)
Na (0.5000, 0.5000, 0.5000)

---

3.
Below is crystalline NaTh2P3 at its relaxed geometry, with properties calculated at the PBE level.

Computed properties:
* ΔE_f: -1.152 eV per atom
* total moment: 0.000 μB/f.u.
* E_tot: -6.55 eV per atom

Lattice parameters (Å, degrees): 4.2182 5.7566 7.3519 113.05 106.67 90.00
Element x y z (fractional)
Na (0.5000, 0.5000, 0.5000)
Th (0.8387, 0.8387, 0.1775)
Th (0.1613, 0.1613, 0.8225)
P (0.8125, 0.3125, 0.1250)
P (0.1875, 0.6875, 0.8750)
P (0.5000, 0.0000, 0.5000)

---

4.
Below is crystalline NaThP2 at its relaxed geometry, with properties calculated at the PBE level.

Computed properties:
* ΔE_f: -0.701 eV per atom
* total moment: 0.000 μB/f.u.
* E_tot: -5.59 eV per atom

Lattice parameters (Å, degrees): 4.2496 4.2496 7.0878 72.56 72.56 60.00
Element x y z (fractional)
Na (0.4938, 0.4938, 0.5187)
Th (0.6694, 0.6694, 0.9919)
P (0.0788, 0.0788, 0.7635)
P (0.2580, 0.2580, 0.2260)

---

5.
Below is crystalline NaTh2P at its relaxed geometry, with properties calculated at the PBE level.

Computed properties:
* ΔE_f: -0.352 eV per atom
* total moment: 0.615 μB/f.u.
* E_tot: -5.74 eV per atom

Lattice parameters (Å, degrees): 3.8454 3.8454 11.0795 80.01 80.01 60.00
Element x y z (fractional)
P (0.5000, 0.5000, 0.5000)
Th (0.1143, 0.1143, 0.6572)
Th (0.8857, 0.8857, 0.3428)
Na (0.0000, 0.0000, 0.0000)

---

6.
Below is crystalline Na3TiP at its relaxed geometry, with properties calculated at the PBE level.

Computed properties:
* ΔE_f: 0.752 eV per atom
* total moment: 0.094 μB/f.u.
* E_tot: -2.70 eV per atom

Lattice parameters (Å, degrees): 5.3814 5.3814 5.3814 90.00 90.00 90.00
Element x y z (fractional)
P (0.0000, 0.0000, 0.0000)
Na (0.0000, 0.5000, 0.0000)
Na (0.0000, 0.0000, 0.5000)
Na (0.5000, 0.0000, 0.0000)
Ti (0.5000, 0.5000, 0.5000)

---

7.
Below is crystalline Na3TiP at its relaxed geometry, with properties calculated at the PBE level.

Computed properties:
* ΔE_f: 1.318 eV per atom
* total moment: 2.017 μB/f.u.
* E_tot: -2.13 eV per atom

Lattice parameters (Å, degrees): 5.7144 5.7144 5.7144 90.00 90.00 90.00
Element x y z (fractional)
P (0.5000, 0.5000, 0.5000)
Na (0.0000, 0.5000, 0.0000)
Na (0.0000, 0.0000, 0.5000)
Na (0.5000, 0.0000, 0.0000)
Ti (0.0000, 0.0000, 0.0000)

---

8.
Below is crystalline NaTi3P at its relaxed geometry, with properties calculated at the PBE level.

Computed properties:
* ΔE_f: 0.070 eV per atom
* total moment: 0.000 μB/f.u.
* E_tot: -6.01 eV per atom

Lattice parameters (Å, degrees): 4.6745 4.6745 4.6745 90.00 90.00 90.00
Element x y z (fractional)
P (0.0000, 0.0000, 0.0000)
Na (0.5000, 0.5000, 0.5000)
Ti (0.0000, 0.5000, 0.0000)
Ti (0.0000, 0.0000, 0.5000)
Ti (0.5000, 0.0000, 0.0000)

---

9.
Below is crystalline NaTi2P at its relaxed geometry, with properties calculated at the PBE level.

Computed properties:
* ΔE_f: 0.136 eV per atom
* total moment: 0.003 μB/f.u.
* E_tot: -5.49 eV per atom

Lattice parameters (Å, degrees): 7.4292 7.4292 5.9295 51.21 51.21 90.00
Element x y z (fractional)
P (0.0000, 0.0000, 0.0000)
P (0.7500, 0.2500, 0.5000)
Na (0.5000, 0.5000, 0.0000)
Na (0.2500, 0.7500, 0.5000)
Ti (0.6856, 0.1250, 0.2500)
Ti (0.0644, 0.6250, 0.2500)
Ti (0.3750, 0.3144, 0.7500)
Ti (0.8750, 0.9356, 0.7500)

---

10.
Below is crystalline Na2TiP at its relaxed geometry, with properties calculated at the PBE level.

Computed properties:
* ΔE_f: 0.061 eV per atom
* total moment: 0.354 μB/f.u.
* E_tot: -3.93 eV per atom

Lattice parameters (Å, degrees): 3.6935 3.6935 11.6922 80.91 80.91 90.00
Element x y z (fractional)
P (0.5000, 0.5000, 0.0000)
P (0.2500, 0.7500, 0.5000)
Na (0.6088, 0.1250, 0.2500)
Na (0.1412, 0.6250, 0.2500)
Na (0.3750, 0.3912, 0.7500)
Na (0.8750, 0.8588, 0.7500)
Ti (0.0000, 0.0000, 0.0000)
Ti (0.7500, 0.2500, 0.5000)

---

11.
Below is crystalline NaTiP2 at its relaxed geometry, with properties calculated at the PBE level.

Computed properties:
* ΔE_f: -0.528 eV per atom
* total moment: 0.000 μB/f.u.
* E_tot: -5.54 eV per atom

Lattice parameters (Å, degrees): 3.6777 3.6777 6.9791 74.72 74.72 60.00
Element x y z (fractional)
P (0.2680, 0.2680, 0.1961)
P (0.7320, 0.7320, 0.8039)
Na (0.5000, 0.5000, 0.5000)
Ti (0.0000, 0.0000, 0.0000)

---

12.
Below is crystalline NaTi3P at its relaxed geometry, with properties calculated at the PBE level.

Computed properties:
* ΔE_f: 1.564 eV per atom
* total moment: 1.838 μB/f.u.
* E_tot: -4.52 eV per atom

Lattice parameters (Å, degrees): 4.5813 4.5813 4.5813 90.00 90.00 90.00
Element x y z (fractional)
P (0.5000, 0.5000, 0.5000)
Na (0.0000, 0.0000, 0.0000)
Ti (0.0000, 0.5000, 0.0000)
Ti (0.0000, 0.0000, 0.5000)
Ti (0.5000, 0.0000, 0.0000)